DFT (GGA-PBE) results for TaReC3 after structural relaxation. Values from VASP.

The value obtained for the total magnetization is 0.00 μB per cell. As for the space group: Pm-3m. The value obtained for the formation energy is 1778 meV/atom.

Cell and atoms, written as Quantum ESPRESSO input:
```
&SYSTEM
  ibrav = 0, nat = 5, ntyp = 3
/
ATOMIC_SPECIES
C 12.01 C.upf
Re 186.21 Re.upf
Ta 180.95 Ta.upf
CELL_PARAMETERS angstrom
3.939 0.000 0.000
0.000 3.939 0.000
0.000 0.000 3.939
ATOMIC_POSITIONS crystal
C 0.500 0.000 0.000
C 0.000 0.500 0.000
C 0.000 0.000 0.500
Re 0.000 0.000 0.000
Ta 0.500 0.500 0.500
```